Entry from Alexandria via LeMat-Bulk: a relaxed structure of PrAsN3 (PBE).

Output
raw formation energy = -0.06 eV per atom
volume = 310.5 Å³ per cell
D(E_F) = 7.50 states/eV per cell

abc: 7.5068 7.5068 5.6228
angles: 98.10 98.10 87.86
Last column: nearest neighbours and their distance in Å.
Positions (direct):
Pr 0.1010 0.8990 0.7500  6 N 2.37-2.59
Pr 0.3368 0.6632 0.2500  6 N 2.52-2.78
Pr 0.6632 0.3368 0.7500  6 N 2.52-2.78
Pr 0.8990 0.1010 0.2500  6 N 2.37-2.59
As 0.1970 0.3716 0.7329  4 N 1.78-1.88
As 0.3716 0.1970 0.2329  4 N 1.78-1.88
As 0.6284 0.8030 0.7671  4 N 1.78-1.88
As 0.8030 0.6284 0.2671  4 N 1.78-1.88
N 0.0099 0.2245 0.6734  1 As 1.78
N 0.1460 0.6012 0.8427  1 As 1.79
N 0.2245 0.0099 0.1734  1 As 1.78
N 0.3201 0.3852 0.4731  2 As 1.85-1.88
N 0.3852 0.3201 0.9731  2 As 1.85-1.88
N 0.3988 0.8540 0.6573  1 As 1.79
N 0.6012 0.1460 0.3427  1 As 1.79
N 0.6148 0.6799 0.0269  2 As 1.85-1.88
N 0.6799 0.6148 0.5269  2 As 1.85-1.88
N 0.7755 0.9901 0.8266  1 As 1.78
N 0.8540 0.3988 0.1573  1 As 1.79
N 0.9901 0.7755 0.3266  1 As 1.78